{"formula": "Pr3AgAu2", "functional": "PBE", "state": "relaxed", "dos_at_fermi_per_ev_atom": 0.863, "delta_e_f_mev_per_atom": -581.8, "vol_a3_per_fu": 159, "energy_ry_per_atom": -0.334, "e_above_lowest_polymorph_mev_per_atom": 3, "lattice_angstrom": [[5.319, 0.000, 0.000], [-2.659, 4.606, 0.000], [0.000, 0.000, 12.959]], "species": ["Ag", "Pr", "Pr", "Ag", "Pr", "Au", "Pr", "Pr", "Pr", "Au", "Au", "Au"], "frac_coords": [[0.333, 0.667, 0.671], [0.333, 0.667, 0.418], [0.667, 0.333, 0.582], [0.667, 0.333, 0.329], [0.333, 0.667, 0.922], [0.000, 0.000, 0.500], [0.667, 0.333, 0.078], [0.000, 0.000, 0.247], [0.000, 0.000, 0.753], [0.333, 0.667, 0.175], [0.667, 0.333, 0.825], [0.000, 0.000, 0.000]]}